# 1
{"formula": "Na2TcSe3", "functional": "GGA-PBE", "state": "relaxed", "magmom_total_mub_per_fu": 3.00, "final_energy_ev_per_cell": -54.34, "lattice": [[3.395, -5.896, 0.000], [3.395, 5.896, 0.000], [-2.298, 0.000, 6.846]], "species": ["Na", "Na", "Na", "Na", "Tc", "Tc", "Se", "Se", "Se", "Se", "Se", "Se"], "fractional_positions": [[0.000, 0.000, 0.000], [0.156, 0.844, 0.500], [0.500, 0.500, 0.500], [0.844, 0.156, 0.500], [0.332, 0.668, 0.000], [0.668, 0.332, 0.000], [0.071, 0.442, 0.212], [0.298, 0.298, 0.790], [0.442, 0.071, 0.212], [0.558, 0.929, 0.788], [0.702, 0.702, 0.210], [0.929, 0.558, 0.788]]}

---

# 2
{"formula": "NaTcSe3", "functional": "GGA-PBE", "state": "relaxed", "magmom_total_mub_per_fu": 1.27, "final_energy_ev_per_cell": -22.51, "lattice": [[4.964, 0.000, 0.000], [0.000, 4.964, 0.000], [0.000, 0.000, 4.974]], "species": ["Na", "Tc", "Se", "Se", "Se"], "fractional_positions": [[0.000, 0.000, 0.000], [0.500, 0.500, 0.503], [0.000, 0.500, 0.503], [0.500, 0.000, 0.503], [0.500, 0.500, 0.003]]}